# LaAs2Ru, optimized geometry, DFT PBE-GGA
data_LaAs2Ru
_chemical_formula_sum 'La2 As4 Ru2'
_symmetry_space_group_name_H-M 'P 1'
_symmetry_Int_Tables_number 1
_cell_length_a 10.3939
_cell_length_b 10.3939
_cell_length_c 10.3939
_cell_angle_alpha 156.84
_cell_angle_beta 156.84
_cell_angle_gamma 32.98
loop_
_symmetry_equiv_pos_as_xyz
'x,y,z'
loop_
_atom_site_label
_atom_site_type_symbol
_atom_site_fract_x
_atom_site_fract_y
_atom_site_fract_z
La1 La 0.1139 0.1139 0.0000
La2 La 0.8861 0.8861 0.0000
As1 As 0.0000 0.5000 0.5000
As2 As 0.3154 0.3154 0.0000
As3 As 0.5000 0.0000 0.5000
As4 As 0.6846 0.6846 0.0000
Ru1 Ru 0.2500 0.7500 0.5000
Ru2 Ru 0.7500 0.2500 0.5000
# D(E_F): 3.205 states/eV/cell
# Energy of formation from the pure elements: -910 meV per atom
# V: 21.69 A^3/atom
# SG: I4/mmm (139)
# Spin magnetization: 0.000 μB/f.u.
# Offset from the most stable computed form: 0.0 kJ per mole of atoms